# 1
Tm4ZnIr2 | PBE | optimized geometry

Structure (POSCAR):
```
Tm4ZnIr2
1.0
2.2871 1.3204 9.3508
-2.2871 1.3204 9.3508
0.0000 -2.6409 9.3508
Tm Zn Ir
4 1 2
direct
0.1127 0.1127 0.1127
0.2973 0.2973 0.2973
0.7027 0.7027 0.7027
0.8873 0.8873 0.8873
0.5000 0.5000 0.5000
0.4068 0.4068 0.4068
0.5932 0.5932 0.5932
```


# 2
TmZnIr2 | PBE | optimized geometry

Structure (POSCAR):
```
TmZnIr2
1.0
4.1947 0.0000 0.0000
0.0000 4.1947 0.0000
0.0000 0.0000 3.7484
Tm Zn Ir
1 1 2
direct
0.0000 0.0000 0.0000
0.5000 0.5000 0.0000
0.0000 0.5000 0.5000
0.5000 0.0000 0.5000
```


# 3
TmZnIr | PBE | optimized geometry

Structure (POSCAR):
```
TmZnIr
1.0
-1.7042 1.7042 4.6989
1.7042 -1.7042 4.6989
1.7042 1.7042 -4.6989
Tm Zn Ir
1 1 1
direct
0.0000 0.0000 0.0000
0.6951 0.6951 0.0000
0.3294 0.3294 0.0000
```


no.,E (eV per atom),energy of formation from the pure elements (kJ/mol of formula units)
1,-5.94,-453
2,-6.41,-209
3,-5.39,-152